(1)
This record from Alexandria describes a relaxed PaZnTcSn crystal. The functional is PBE.

Geometry as extended XYZ:
```
4
Lattice="0.000 3.401 3.401 3.401 0.000 3.401 3.401 3.401 0.000" Properties=species:S:1:pos:R:3 pbc="T T T"
Pa 0.000 0.000 0.000
Zn 5.101 5.101 5.101
Tc 1.700 1.700 1.700
Sn 3.401 3.401 3.401
```

Calculated values
V: 79 Å³/f.u.
DFT total energy: -25.196 eV/f.u.
Space-group type: F-43m (216)

(2)
This record from Alexandria describes a relaxed CaTaNi3 crystal. The functional is PBE.

Geometry as extended XYZ:
```
5
Lattice="4.641 0.000 0.000 0.000 4.641 0.000 0.000 0.000 4.641" Properties=species:S:1:pos:R:3 pbc="T T T"
Ca 0.000 0.000 0.000
Ta 2.320 2.320 2.320
Ni 0.000 2.320 2.320
Ni 2.320 0.000 2.320
Ni 2.320 2.320 0.000
```

Calculated values
V: 100 Å³/f.u.
DFT total energy: -28.318 eV/f.u.
Space-group type: Pm-3m (221)

(3)
This record from Alexandria describes a relaxed TaTe3Au crystal. The functional is PBE.

Geometry as extended XYZ:
```
20
Lattice="5.583 0.000 0.000 0.000 6.976 0.000 -3.716 0.000 13.829" Properties=species:S:1:pos:R:3 pbc="T T T"
Ta -0.138 0.768 3.318
Ta -1.996 2.720 10.232
Ta 3.862 4.256 3.596
Ta 2.004 6.209 10.511
Te -3.250 1.218 12.445
Te -1.392 2.270 5.530
Te -2.178 4.577 12.379
Te -0.320 5.888 5.465
Te -0.692 0.196 10.262
Te 1.167 3.292 3.348
Te 0.700 3.684 10.481
Te 2.558 6.780 3.567
Te 2.186 1.089 8.364
Te 4.045 2.399 1.450
Te 3.259 4.706 8.298
Te 5.117 5.758 1.384
Au 1.847 0.642 0.960
Au -0.011 2.846 7.874
Au 1.878 4.131 5.954
Au 0.020 6.334 12.869
```

Calculated values
V: 135 Å³/f.u.
Uncorrected formation energy: -0.07 eV per atom
DFT total energy: -24.913 eV/f.u.
Space-group type: P2_1/c (14)

(4)
This record from Alexandria describes a relaxed Tl3C crystal. The functional is PBE.

Geometry as extended XYZ:
```
4
Lattice="3.395 0.000 0.000 0.000 3.545 0.000 0.000 0.000 8.356" Properties=species:S:1:pos:R:3 pbc="T T T"
Tl 0.000 0.000 0.000
Tl 0.000 1.772 2.785
Tl 1.697 1.772 5.736
C 1.697 0.000 2.142
```

Calculated values
V: 101 Å³/f.u.
DFT total energy: -11.840 eV/f.u.
Space-group type: Pmm2 (25)

(5)
This record from Alexandria describes a relaxed TbNdPdAu crystal. The functional is PBE.

Geometry as extended XYZ:
```
4
Lattice="0.000 3.625 3.625 3.625 0.000 3.625 3.625 3.625 0.000" Properties=species:S:1:pos:R:3 pbc="T T T"
Tb 0.000 0.000 0.000
Nd 3.625 3.625 3.625
Pd 5.437 5.437 5.437
Au 1.812 1.812 1.812
```

Calculated values
V: 95 Å³/f.u.
DFT total energy: -21.031 eV/f.u.
Space-group type: F-43m (216)

(6)
This record from Alexandria describes a relaxed Pa2SiHRu6 crystal. The functional is PBE.

Geometry as extended XYZ:
```
10
Lattice="4.323 0.000 0.000 0.000 4.323 0.000 0.000 0.000 8.268" Properties=species:S:1:pos:R:3 pbc="T T T"
Pa 0.000 0.000 1.961
Pa 0.000 0.000 6.307
Si 2.162 2.162 4.134
H 2.162 2.162 0.000
Ru 0.000 2.162 0.000
Ru 0.000 2.162 4.134
Ru 2.162 0.000 0.000
Ru 2.162 0.000 4.134
Ru 2.162 2.162 1.869
Ru 2.162 2.162 6.399
```

Calculated values
V: 155 Å³/f.u.
DFT total energy: -86.366 eV/f.u.
Space-group type: P4/mmm (123)

(7)
This record from Alexandria describes a relaxed LiNi2P2 crystal. The functional is PBE.

Geometry as extended XYZ:
```
10
Lattice="2.463 -4.526 0.000 2.463 4.526 0.000 -2.453 0.000 6.180" Properties=species:S:1:pos:R:3 pbc="T T T"
Li 0.623 3.393 4.635
Li 1.849 -3.393 1.545
Ni 1.848 1.132 0.281
Ni 1.851 1.132 2.809
Ni 0.622 -1.132 3.371
Ni 0.624 -1.132 5.899
P 1.849 2.950 1.545
P 0.623 0.685 4.635
P 1.849 -0.685 1.545
P 0.623 -2.950 4.635
```

Calculated values
V: 69 Å³/f.u.
DFT total energy: -26.549 eV/f.u.
Space-group type: C2/c (15)

(8)
This record from Alexandria describes a relaxed KCd3Pb3 crystal. The functional is PBE.

Geometry as extended XYZ:
```
14
Lattice="4.199 2.424 7.251 -4.199 2.424 7.251 0.000 -4.848 7.251" Properties=species:S:1:pos:R:3 pbc="T T T"
K 0.000 0.000 3.082
K 0.000 0.000 18.671
Cd -0.959 -1.505 9.608
Cd -1.783 0.078 12.145
Cd -0.824 1.583 9.608
Cd 0.824 -1.583 12.145
Cd 1.783 -0.078 9.608
Cd 0.959 1.505 12.145
Pb -0.651 -1.893 6.459
Pb -1.314 1.510 6.459
Pb -1.965 -0.383 15.294
Pb 1.965 0.383 6.459
Pb 1.314 -1.510 15.294
Pb 0.651 1.893 15.294
```

Calculated values
V: 221 Å³/f.u.
DFT total energy: -14.995 eV/f.u.
Space-group type: R-3 (148)

(9)
This record from Alexandria describes a relaxed CrAgCl3 crystal. The functional is PBE.

Geometry as extended XYZ:
```
5
Lattice="5.045 0.000 0.000 0.000 5.045 0.000 0.000 0.000 5.045" Properties=species:S:1:pos:R:3 pbc="T T T"
Cr 0.000 0.000 0.000
Ag 2.522 2.522 2.522
Cl 0.000 2.522 2.522
Cl 2.522 0.000 2.522
Cl 2.522 2.522 0.000
```

Calculated values
V: 128 Å³/f.u.
Uncorrected formation energy: 0.00 eV per atom
DFT total energy: -18.003 eV/f.u.
Space-group type: Pm-3m (221)

(10)
This record from Alexandria describes a relaxed AlCuB2 crystal. The functional is PBE.

Geometry as extended XYZ:
```
8
Lattice="-1.772 1.772 7.147 1.772 -1.772 7.147 1.772 1.772 -7.147" Properties=species:S:1:pos:R:3 pbc="T T T"
Al 0.000 0.000 0.000
Al 0.000 1.772 3.573
Cu 1.772 0.000 3.573
Cu 0.000 0.000 7.147
B 0.886 -0.166 5.360
B 1.606 0.886 1.787
B 0.886 1.937 -1.787
B 0.166 0.886 8.933
```

Calculated values
V: 45 Å³/f.u.
DFT total energy: -19.262 eV/f.u.
Space-group type: I-42d (122)

(11)
This record from Alexandria describes a relaxed InNiBiP2 crystal. The functional is PBE.

Geometry as extended XYZ:
```
5
Lattice="5.043 0.000 0.000 0.000 5.043 0.000 0.000 0.000 4.714" Properties=species:S:1:pos:R:3 pbc="T T T"
In 0.000 0.000 0.000
Ni 0.000 0.000 2.357
Bi 2.521 2.521 2.357
P 0.000 2.521 0.000
P 2.521 0.000 0.000
```

Calculated values
V: 120 Å³/f.u.
DFT total energy: -18.197 eV/f.u.
Space-group type: P4/mmm (123)

(12)
This record from Alexandria describes a relaxed Ti3WC4 crystal. The functional is PBE.

Geometry as extended XYZ:
```
8
Lattice="1.534 0.886 10.082 -1.534 0.886 10.082 0.000 -1.771 10.082" Properties=species:S:1:pos:R:3 pbc="T T T"
Ti 0.000 0.000 0.000
Ti 0.000 0.000 7.599
Ti 0.000 0.000 22.647
W 0.000 0.000 15.123
C 0.000 0.000 3.783
C 0.000 0.000 11.344
C 0.000 0.000 18.902
C 0.000 0.000 26.463
```

Calculated values
V: 82 Å³/f.u.
DFT total energy: -78.411 eV/f.u.
Space-group type: R-3m (166)